Compound: Li3Co3OF7
Source: Alexandria via LeMat-Bulk
Functional: PBE with a Hubbard U
Structure: relaxed

abc: 6.068 6.068 6.068
angles: 60.03 60.03 60.03
Fractional positions:
Co 0.388 0.388 0.863
Co 0.863 0.388 0.388
Co 0.388 0.863 0.388
F 0.133 0.604 0.133
F 0.143 0.615 0.615
F 0.615 0.615 0.143
F 0.604 0.133 0.133
F 0.615 0.143 0.615
F 0.137 0.137 0.137
F 0.133 0.133 0.604
Li 0.001 0.001 0.001
Li 0.744 0.744 0.744
Li 0.375 0.375 0.375
O 0.615 0.615 0.615

Summary:
space-group type	R3m, No. 160
mass density	3.64	g/cm³
VASP energy	-5.08	eV per atom
size of the total moment	9.03	μB/cell